## P
Computed, not measured: YMnW at its PBEsol-relaxed geometry at the SCAN level of DFT.

a b c (Å): 6.075 6.075 6.075
angles (deg): 90.00 90.00 90.00
Space group F-43m (No. 216)
Unique sites:
Y (0.000, 0.000, 0.000) (multiplicity 4)
Mn (0.250, 0.250, 0.750) (multiplicity 4)
W (0.000, 0.000, 0.500) (multiplicity 4)

- M_tot: 0.00 Bohr magnetons per cell



## Q
Computed, not measured: YMnW at its PBEsol-relaxed geometry at the SCAN level of DFT.

a b c (Å): 3.9164 3.9164 4.4964
angles (deg): 90.00 90.00 120.00
Space group P-6m2 (No. 187)
Unique sites:
Y (0.0000, 0.0000, 0.0000) (multiplicity 1)
Mn (0.3333, 0.6667, 0.5000) (multiplicity 1)
W (0.6667, 0.3333, 0.5000) (multiplicity 1)

- M_tot: 1.25 Bohr magnetons per cell



Preferred: Q; penalty for the next structure: 418 meV per atom.



## P
Computed, not measured: YZr2Mn at its PBEsol-relaxed geometry at the SCAN level of DFT.

a b c (Å): 3.291 5.139 9.716
angles (deg): 90.00 90.00 90.00
Space group Immm (No. 71)
Unique sites:
Y (0.000, 0.000, 0.000) (multiplicity 2)
Zr (0.000, 0.500, 0.201) (multiplicity 4)
Mn (0.000, 0.000, 0.500) (multiplicity 2)

- M_tot: 0.03 Bohr magnetons per cell



## Q
Computed, not measured: YZr2Mn at its PBEsol-relaxed geometry at the SCAN level of DFT.

a b c (Å): 4.205 4.743 8.357
angles (deg): 90.00 90.00 90.00
Space group Cmmm (No. 65)
Unique sites:
Y (0.000, 0.000, 0.000) (multiplicity 2)
Zr (0.000, 0.500, 0.319) (multiplicity 4)
Mn (0.000, 0.000, 0.500) (multiplicity 2)

- M_tot: 0.01 Bohr magnetons per cell



Preferred: Q; penalty for the next structure: 14 meV per atom.



## P
Computed, not measured: ZrMn4 at its PBEsol-relaxed geometry at the SCAN level of DFT.

a b c (Å): 3.787 3.787 9.157
angles (deg): 90.00 90.00 90.00
Space group I4/mmm (No. 139)
Unique sites:
Zr (0.000, 0.000, 0.000) (multiplicity 2)
Mn (0.000, 0.000, 0.378) (multiplicity 4)
Mn (0.000, 0.500, 0.250) (multiplicity 4)

- M_tot: 0.00 Bohr magnetons per cell



## Q
Computed, not measured: ZrMn4 at its PBEsol-relaxed geometry at the SCAN level of DFT.

a b c (Å): 5.370 5.370 4.381
angles (deg): 90.00 90.00 90.00
Space group I4/m (No. 87)
Unique sites:
Zr (0.000, 0.000, 0.000) (multiplicity 2)
Mn (0.023, 0.297, 0.500) (multiplicity 8)

- M_tot: 0.11 Bohr magnetons per cell



Preferred: P; penalty for the next structure: 265 meV per atom.



## P
Computed, not measured: Mo2N at its PBEsol-relaxed geometry at the SCAN level of DFT.

a b c (Å): 4.209 4.209 7.960
angles (deg): 90.00 90.00 90.00
Space group I4_1/amd (No. 141, origin choice 2)
Unique sites:
Mo (0.000, 0.250, 0.115) (multiplicity 8)
N (0.000, 0.250, 0.375) (multiplicity 4)

- M_tot: 0.00 Bohr magnetons per cell



## Q
Computed, not measured: Mo2N at its PBEsol-relaxed geometry at the SCAN level of DFT.

a b c (Å): 2.8749 2.8749 14.7481
angles (deg): 90.00 90.00 120.00
Space group R-3m (No. 166, hexagonal axes)
Unique sites:
Mo (0.0000, 0.0000, 0.2433) (multiplicity 6)
N (0.0000, 0.0000, 0.0000) (multiplicity 3)

- M_tot: 0.00 Bohr magnetons per cell



Preferred: P; penalty for the next structure: 12 meV per atom.



## P
Computed, not measured: Na2MoO4 at its PBEsol-relaxed geometry at the SCAN level of DFT.

a b c (Å): 6.397 10.348 12.677
angles (deg): 90.00 90.00 90.00
Space group Fddd (No. 70, origin choice 2)
Unique sites:
Na (0.125, 0.306, 0.125) (multiplicity 16)
Mo (0.125, 0.125, 0.625) (multiplicity 8)
O (0.032, 0.271, 0.952) (multiplicity 32)

- M_tot: 0.00 Bohr magnetons per cell



## Q
Computed, not measured: Na2MoO4 at its PBEsol-relaxed geometry at the SCAN level of DFT.

a b c (Å): 9.074 9.074 9.074
angles (deg): 90.00 90.00 90.00
Space group Fd-3m (No. 227, origin choice 2)
Unique sites:
Na (0.000, 0.000, 0.000) (multiplicity 16)
Mo (0.125, 0.125, 0.625) (multiplicity 8)
O (0.012, 0.012, 0.738) (multiplicity 32)

- M_tot: 0.01 Bohr magnetons per cell



Preferred: Q; penalty for the next structure: 40 meV per atom.



## P
Computed, not measured: NaSi3Mo at its PBEsol-relaxed geometry at the SCAN level of DFT.

a b c (Å): 4.744 4.744 4.744
angles (deg): 90.00 90.00 90.00
Space group Pm-3m (No. 221)
Unique sites:
Na (0.000, 0.000, 0.000) (multiplicity 1)
Si (0.000, 0.500, 0.500) (multiplicity 3)
Mo (0.500, 0.500, 0.500) (multiplicity 1)

- M_tot: 0.00 Bohr magnetons per cell



## Q
Computed, not measured: NaSi3Mo at its PBEsol-relaxed geometry at the SCAN level of DFT.

a b c (Å): 4.658 4.658 4.658
angles (deg): 90.00 90.00 90.00
Space group Pm-3m (No. 221)
Unique sites:
Na (0.000, 0.000, 0.000) (multiplicity 1)
Si (0.000, 0.000, 0.500) (multiplicity 3)
Mo (0.500, 0.500, 0.500) (multiplicity 1)

- M_tot: 3.53 Bohr magnetons per cell



Preferred: P; penalty for the next structure: 1721 meV per atom.



## P
Computed, not measured: NiMoOs at its PBEsol-relaxed geometry at the SCAN level of DFT.

a b c (Å): 4.2032 4.2032 2.6224
angles (deg): 90.00 90.00 120.00
Space group P-6m2 (No. 187)
Unique sites:
Ni (0.0000, 0.0000, 0.0000) (multiplicity 1)
Mo (0.3333, 0.6667, 0.0000) (multiplicity 1)
Os (0.6667, 0.3333, 0.5000) (multiplicity 1)

- M_tot: 0.00 Bohr magnetons per cell



## Q
Computed, not measured: NiMoOs at its PBEsol-relaxed geometry at the SCAN level of DFT.

a b c (Å): 2.652 2.652 11.292
angles (deg): 90.00 90.00 90.00
Space group I4mm (No. 107)
Unique sites:
Ni (0.000, 0.000, 0.000) (multiplicity 2)
Mo (0.000, 0.000, 0.664) (multiplicity 2)
Os (0.000, 0.000, 0.341) (multiplicity 2)

- M_tot: 0.00 Bohr magnetons per cell



Preferred: P; penalty for the next structure: 36 meV per atom.



## P
Computed, not measured: NiMoOs3 at its PBEsol-relaxed geometry at the SCAN level of DFT.

a b c (Å): 4.588 4.588 4.588
angles (deg): 90.00 90.00 90.00
Space group Pm-3m (No. 221)
Unique sites:
Ni (0.000, 0.000, 0.000) (multiplicity 1)
Mo (0.500, 0.500, 0.500) (multiplicity 1)
Os (0.000, 0.500, 0.500) (multiplicity 3)

- M_tot: 2.08 Bohr magnetons per cell



## Q
Computed, not measured: NiMoOs3 at its PBEsol-relaxed geometry at the SCAN level of DFT.

a b c (Å): 4.306 4.306 4.306
angles (deg): 90.00 90.00 90.00
Space group Pm-3m (No. 221)
Unique sites:
Ni (0.000, 0.000, 0.000) (multiplicity 1)
Mo (0.500, 0.500, 0.500) (multiplicity 1)
Os (0.000, 0.000, 0.500) (multiplicity 3)

- M_tot: 0.73 Bohr magnetons per cell



Preferred: Q; penalty for the next structure: 690 meV per atom.



## P
Computed, not measured: NiMoPb2 at its PBEsol-relaxed geometry at the SCAN level of DFT.

a b c (Å): 6.662 6.662 6.662
angles (deg): 90.00 90.00 90.00
Space group Fm-3m (No. 225)
Unique sites:
Ni (0.000, 0.000, 0.000) (multiplicity 4)
Mo (0.000, 0.000, 0.500) (multiplicity 4)
Pb (0.250, 0.250, 0.250) (multiplicity 8)

- M_tot: 0.00 Bohr magnetons per cell



## Q
Computed, not measured: NiMoPb2 at its PBEsol-relaxed geometry at the SCAN level of DFT.

a b c (Å): 3.2029 3.2029 25.3583
angles (deg): 90.00 90.00 120.00
Space group R-3m (No. 166, hexagonal axes)
Unique sites:
Ni (0.0000, 0.0000, 0.0000) (multiplicity 3)
Mo (0.0000, 0.0000, 0.5000) (multiplicity 3)
Pb (0.0000, 0.0000, 0.2553) (multiplicity 6)

- M_tot: 0.03 Bohr magnetons per cell



Preferred: Q; penalty for the next structure: 120 meV per atom.



## P
Computed, not measured: NiMo2Pt at its PBEsol-relaxed geometry at the SCAN level of DFT.

a b c (Å): 2.656 3.947 5.286
angles (deg): 90.00 90.00 90.00
Space group Pmmm (No. 47)
Unique sites:
Ni (0.000, 0.000, 0.000) (multiplicity 1)
Mo (0.500, 0.500, 0.235) (multiplicity 2)
Pt (0.000, 0.000, 0.500) (multiplicity 1)

- M_tot: 0.00 Bohr magnetons per cell



## Q
Computed, not measured: NiMo2Pt at its PBEsol-relaxed geometry at the SCAN level of DFT.

a b c (Å): 3.718 3.718 4.008
angles (deg): 90.00 90.00 90.00
Space group P4/mmm (No. 123)
Unique sites:
Ni (0.000, 0.000, 0.000) (multiplicity 1)
Mo (0.000, 0.500, 0.500) (multiplicity 2)
Pt (0.500, 0.500, 0.000) (multiplicity 1)

- M_tot: 0.00 Bohr magnetons per cell



## R
Computed, not measured: NiMo2Pt at its PBEsol-relaxed geometry at the SCAN level of DFT.

a b c (Å): 3.868 3.868 7.485
angles (deg): 90.00 90.00 90.00
Space group I-4m2 (No. 119)
Unique sites:
Ni (0.000, 0.000, 0.000) (multiplicity 2)
Mo (0.000, 0.000, 0.500) (multiplicity 2)
Mo (0.000, 0.500, 0.250) (multiplicity 2)
Pt (0.000, 0.500, 0.750) (multiplicity 2)

- M_tot: 0.00 Bohr magnetons per cell



## S
Computed, not measured: NiMo2Pt at its PBEsol-relaxed geometry at the SCAN level of DFT.

a b c (Å): 5.246 7.986 2.657
angles (deg): 90.00 90.00 90.00
Space group Cmmm (No. 65)
Unique sites:
Ni (0.000, 0.000, 0.000) (multiplicity 2)
Mo (0.250, 0.250, 0.500) (multiplicity 4)
Pt (0.000, 0.500, 0.000) (multiplicity 2)

- M_tot: 0.00 Bohr magnetons per cell



Preferred: P; penalty for the next structure: 7 meV per atom.



## P
Computed, not measured: NiMo2Pt at its PBEsol-relaxed geometry at the SCAN level of DFT.

a b c (Å): 2.673 4.332 4.794
angles (deg): 90.00 90.00 90.00
Space group Pmm2 (No. 25)
Unique sites:
Ni (0.000, 0.000, 0.000) (multiplicity 1)
Mo (0.500, 0.000, 0.493) (multiplicity 1)
Mo (0.500, 0.500, 0.163) (multiplicity 1)
Pt (0.000, 0.500, 0.680) (multiplicity 1)

- M_tot: 0.00 Bohr magnetons per cell



## Q
Computed, not measured: NiMo2Pt at its PBEsol-relaxed geometry at the SCAN level of DFT.

a b c (Å): 8.847 2.653 4.831
angles (deg): 90.00 98.17 90.00
Space group Cm (No. 8)
Unique sites:
Ni (0.000, 0.000, 0.000) (multiplicity 2)
Mo (0.000, 0.500, 0.500) (multiplicity 2)
Mo (0.256, 0.000, 0.783) (multiplicity 2)
Pt (0.251, 0.500, 0.259) (multiplicity 2)

- M_tot: 0.00 Bohr magnetons per cell



Preferred: P; penalty for the next structure: 110 meV per atom.



## P
Computed, not measured: NiMoRh2 at its PBEsol-relaxed geometry at the SCAN level of DFT.

a b c (Å): 2.685 3.678 5.336
angles (deg): 90.00 90.00 90.00
Space group Pmmm (No. 47)
Unique sites:
Ni (0.000, 0.000, 0.000) (multiplicity 1)
Mo (0.000, 0.000, 0.500) (multiplicity 1)
Rh (0.500, 0.500, 0.241) (multiplicity 2)

- M_tot: 0.00 Bohr magnetons per cell



## Q
Computed, not measured: NiMoRh2 at its PBEsol-relaxed geometry at the SCAN level of DFT.

a b c (Å): 3.780 3.780 7.351
angles (deg): 90.00 90.00 90.00
Space group I4/mmm (No. 139)
Unique sites:
Ni (0.000, 0.000, 0.000) (multiplicity 2)
Mo (0.000, 0.000, 0.500) (multiplicity 2)
Rh (0.000, 0.500, 0.250) (multiplicity 4)

- M_tot: 0.00 Bohr magnetons per cell



Preferred: Q; penalty for the next structure: 46 meV per atom.